(1)
HoMo3P | PBE | relaxed

Properties
E_tot   -8.28 eV per atom
V   19.003 Å³/atom

Cell: 4.5632 4.5632 4.5632 Å, 90.00 90.00 90.00°
With the nearest neighbours (Å) after each atom.
Positions (direct):
Ho: 0.0000 0.0000 0.0000  12 Mo 3.23
Mo: 0.0000 0.5000 0.5000  2 P 2.28
Mo: 0.5000 0.0000 0.5000  2 P 2.28
Mo: 0.5000 0.5000 0.0000  2 P 2.28
P: 0.5000 0.5000 0.5000  6 Mo 2.28

(2)
HfSbIr | PBE | relaxed

Properties
E_tot   -8.09 eV per atom
V   19.137 Å³/atom

Cell: 6.9159 6.9159 4.1580 Å, 90.00 90.00 120.00°
With the nearest neighbours (Å) after each atom.
Positions (direct):
Hf: 0.0000 0.5793 0.0000  5 Sb 2.91-2.93, 2 Ir 3.05
Hf: 0.4207 0.4207 0.0000  5 Sb 2.91-2.93, 2 Ir 3.05
Hf: 0.5793 0.0000 0.0000  5 Sb 2.91-2.93, 2 Ir 3.05
Sb: 0.0000 0.0000 0.0000  6 Ir 2.73, 3 Hf 2.91
Sb: 0.3333 0.6667 0.5000  3 Ir 2.61
Sb: 0.6667 0.3333 0.5000  3 Ir 2.61
Ir: 0.0000 0.2561 0.5000  4 Sb 2.61-2.73
Ir: 0.2561 0.0000 0.5000  4 Sb 2.61-2.73
Ir: 0.7439 0.7439 0.5000  4 Sb 2.61-2.73

(3)
MgTcSn2 | PBE | relaxed

Properties
E_tot   -4.51 eV per atom
V   20.574 Å³/atom

Cell: 6.9048 6.9048 6.9048 Å, 90.00 90.00 90.00°
With the nearest neighbours (Å) after each atom.
Positions (direct):
Mg: 0.0000 0.0000 0.0000  4 Tc 2.99, 4 Sn 2.99
Mg: 0.0000 0.5000 0.5000  4 Sn 2.99, 4 Tc 2.99
Mg: 0.5000 0.0000 0.5000  4 Sn 2.99, 4 Tc 2.99
Mg: 0.5000 0.5000 0.0000  4 Sn 2.99, 4 Tc 2.99
Tc: 0.2500 0.2500 0.7500  4 Sn 2.99, 4 Mg 2.99
Tc: 0.2500 0.7500 0.2500  4 Sn 2.99, 4 Mg 2.99
Tc: 0.7500 0.2500 0.2500  4 Sn 2.99, 4 Mg 2.99
Tc: 0.7500 0.7500 0.7500  4 Mg 2.99, 4 Sn 2.99
Sn: 0.0000 0.0000 0.5000  4 Sn 2.99, 4 Tc 2.99
Sn: 0.0000 0.5000 0.0000  4 Sn 2.99, 4 Tc 2.99
Sn: 0.2500 0.2500 0.2500  4 Sn 2.99, 4 Mg 2.99
Sn: 0.2500 0.7500 0.7500  4 Sn 2.99, 4 Mg 2.99
Sn: 0.5000 0.0000 0.0000  4 Sn 2.99, 4 Tc 2.99
Sn: 0.5000 0.5000 0.5000  4 Sn 2.99, 4 Tc 2.99
Sn: 0.7500 0.2500 0.7500  4 Sn 2.99, 4 Mg 2.99
Sn: 0.7500 0.7500 0.2500  4 Sn 2.99, 4 Mg 2.99

(4)
Pr4MgCo | PBE | relaxed

Properties
E_tot   -4.71 eV per atom
V   28.995 Å³/atom

Cell: 9.9468 9.9468 9.9468 Å, 60.00 60.00 60.00°
With the nearest neighbours (Å) after each atom.
Positions (direct):
Pr: 0.0338 0.6554 0.6554  3 Co 2.88
Pr: 0.0614 0.0614 0.4386  2 Mg 3.42, 2 Co 3.58, 10 Pr 3.58-3.75
Pr: 0.0614 0.4386 0.0614  2 Mg 3.42, 2 Co 3.58, 10 Pr 3.58-3.75
Pr: 0.0614 0.4386 0.4386  2 Mg 3.42, 2 Co 3.58, 10 Pr 3.58-3.75
Pr: 0.1879 0.1879 0.8121  2 Co 2.88
Pr: 0.1879 0.8121 0.1879  2 Co 2.88
Pr: 0.1879 0.8121 0.8121  2 Co 2.88
Pr: 0.4386 0.0614 0.0614  2 Mg 3.42, 2 Co 3.58, 10 Pr 3.58-3.75
Pr: 0.4386 0.0614 0.4386  2 Mg 3.42, 2 Co 3.58, 10 Pr 3.58-3.75
Pr: 0.4386 0.4386 0.0614  2 Mg 3.42, 2 Co 3.58, 10 Pr 3.58-3.75
Pr: 0.6554 0.0338 0.6554  3 Co 2.88
Pr: 0.6554 0.6554 0.0338  3 Co 2.88
Pr: 0.6554 0.6554 0.6554  3 Co 2.88
Pr: 0.8121 0.1879 0.1879  2 Co 2.88
Pr: 0.8121 0.1879 0.8121  2 Co 2.88
Pr: 0.8121 0.8121 0.1879  2 Co 2.88
Mg: 0.4214 0.4214 0.4214  3 Mg 3.13, 3 Pr 3.42
Mg: 0.4214 0.4214 0.7358  3 Mg 3.13, 3 Pr 3.42
Mg: 0.4214 0.7358 0.4214  3 Mg 3.13, 3 Pr 3.42
Mg: 0.7358 0.4214 0.4214  3 Mg 3.13, 3 Pr 3.42
Co: 0.4225 0.8592 0.8592  6 Pr 2.88
Co: 0.8592 0.4225 0.8592  6 Pr 2.88
Co: 0.8592 0.8592 0.4225  6 Pr 2.88
Co: 0.8592 0.8592 0.8592  6 Pr 2.88

What is the V in the second record? 19.137 Å³/atom

What is the formula in the fourth record? Pr4MgCo

Which of these has the highest E_tot? MgTcSn2

Among the records above, which one has the lowest V? HoMo3P